[1]
A relaxed Pm3Mn5N12 crystal. Source: Alexandria via LeMat-Bulk, functional PBE-GGA.

The calculation puts the volume at 11.83 Å³/atom. As for the total energy: -8.450 eV per atom.

Unit cell a=12.3692 b=12.3692 c=12.3692 alpha=90.00 beta=90.00 gamma=90.00
Last column: nearest neighbours and their distance in Å.
Space group Ia-3d (No. 230)
Unique sites:
Pm1 0.0000 0.2500 0.1250 (multiplicity 24)  8 N 2.43-2.61
Mn1 0.0000 0.0000 0.0000 (multiplicity 16)  6 N 1.98
Mn2 0.0000 0.2500 0.3750 (multiplicity 24)  4 N 1.73
N1 0.0384 0.0435 0.6493 (multiplicity 96)  1 Mn 1.73

=====

[2]
A relaxed PmMnN crystal. Source: Alexandria via LeMat-Bulk, functional PBE-GGA.

The calculation puts the volume at 16.74 Å³/atom. As for the total energy: -8.098 eV per atom.

Unit cell a=3.5930 b=3.5930 c=7.7818 alpha=90.00 beta=90.00 gamma=90.00
Last column: nearest neighbours and their distance in Å.
Space group P4/nmm (No. 129, origin choice 2)
Unique sites:
Pm1 0.2500 0.2500 0.1601 (multiplicity 2)  5 N 2.46-2.54
Mn1 0.2500 0.2500 0.5908 (multiplicity 2)  1 N 1.97
N1 0.2500 0.2500 0.8439 (multiplicity 2)  1 Mn 1.97

=====

[3]
A relaxed Pm3Mn2N6 crystal. Source: Alexandria via LeMat-Bulk, functional PBE-GGA.

The calculation puts the volume at 12.83 Å³/atom. As for the total energy: -8.411 eV per atom.

Unit cell a=3.8005 b=3.8005 c=19.5432 alpha=90.00 beta=90.00 gamma=90.00
Last column: nearest neighbours and their distance in Å.
Space group I4/mmm (No. 139)
Unique sites:
Pm1 0.0000 0.0000 0.0000 (multiplicity 2)  8 N 2.53
Pm2 0.0000 0.0000 0.1789 (multiplicity 4)  9 N 2.43-2.71
Mn1 0.0000 0.0000 0.3962 (multiplicity 4)  5 N 1.82-1.93
N1 0.0000 0.0000 0.3033 (multiplicity 4)  1 Mn 1.82
N2 0.0000 0.5000 0.0858 (multiplicity 8)  2 Mn 1.93

=====

[4]
A relaxed Pm3MnN crystal. Source: Alexandria via LeMat-Bulk, functional PBE-GGA.

The calculation puts the volume at 24.41 Å³/atom. As for the total energy: -6.738 eV per atom.

Unit cell a=4.9606 b=4.9606 c=4.9606 alpha=90.00 beta=90.00 gamma=90.00
Last column: nearest neighbours and their distance in Å.
Space group Pm-3m (No. 221)
Unique sites:
Pm1 0.0000 0.0000 0.5000 (multiplicity 3)  2 N 2.48
Mn1 0.5000 0.5000 0.5000 (multiplicity 1)  12 Pm 3.51
N1 0.0000 0.0000 0.0000 (multiplicity 1)  6 Pm 2.48

=====

Number 1: ΔE_f (raw) -0.45 eV/atom. Number 2: ΔE_f (raw) -0.68 eV/atom. Number 3: ΔE_f (raw) -0.91 eV/atom. Number 4: ΔE_f (raw) -0.39 eV/atom.